(1)
Material: Tm12Ru5Pb
Method: DFT, PBE
State: optimized geometry

calculated total energy = -6.18 eV/atom
DOS(E_F) = 28.073 states/eV/cell
formation energy from the elements = -0.4182 eV per atom
total magnetization = 0.00 μB/cell

Lattice parameters (Å, degrees): 9.2066 9.4604 10.0854 90.00 90.00 90.00
Space group Immm (No. 71)
Symmetry-distinct sites (fractional):
1 Tm 0.0000 0.1943 0.2339 (multiplicity 8)
2 Tm 0.1871 0.5000 0.1729 (multiplicity 8)
3 Tm 0.2326 0.3250 0.5000 (multiplicity 8)
4 Ru 0.0000 0.0000 0.0000 (multiplicity 2)
5 Ru 0.0000 0.3374 0.0000 (multiplicity 4)
6 Ru 0.0000 0.5000 0.3764 (multiplicity 4)
7 Pb 0.0000 0.0000 0.5000 (multiplicity 2)

=====

(2)
Material: Ac8Te4Rh3I
Method: DFT, PBE
State: optimized geometry

formation energy from raw total energies = -1.098 eV/atom
calculated total energy = -5.41 eV/atom
DOS(E_F) = 37.175 states/eV/cell
total magnetization = 0.00 μB/cell

Lattice parameters (Å, degrees): 9.0857 9.0857 23.8422 90.00 90.00 120.00
Space group R-3m (No. 166, hexagonal axes)
Symmetry-distinct sites (fractional):
1 Ac 0.0000 0.0000 0.2364 (multiplicity 6)
2 Ac 0.0284 0.5142 0.7604 (multiplicity 18)
3 Te 0.0000 0.0000 0.0000 (multiplicity 3)
4 Te 0.0000 0.5000 0.0000 (multiplicity 9)
5 Rh 0.0000 0.5000 0.5000 (multiplicity 9)
6 I 0.0000 0.0000 0.5000 (multiplicity 3)

=====

(3)
Material: KCdAg2
Method: DFT, PBE
State: optimized geometry

calculated total energy = -1.86 eV/atom
DOS(E_F) = 1.640 states/eV/cell
formation energy from the elements = 0.0671 eV per atom
E above lowest polymorph = 0.103 eV/atom
total magnetization = 0.00 μB/cell

Lattice parameters (Å, degrees): 9.8776 3.1338 6.8301 90.00 97.28 90.00
Space group Cm (No. 8)
Symmetry-distinct sites (fractional):
1 K 0.0000 0.0000 0.0000 (multiplicity 2)
2 Cd 0.2694 0.5000 0.3409 (multiplicity 2)
3 Ag 0.0047 0.5000 0.5152 (multiplicity 2)
4 Ag 0.2354 0.0000 0.6883 (multiplicity 2)

=====

(4)
Material: Pd2PtPb
Method: DFT, PBE
State: optimized geometry

calculated total energy = -5.02 eV/atom
DOS(E_F) = 9.090 states/eV/cell
formation energy from the elements = 0.0158 eV per atom
E above lowest polymorph = 0.256 eV/atom
total magnetization = 0.00 μB/cell

Lattice parameters (Å, degrees): 3.9723 3.9723 19.3884 90.00 90.00 90.00
Space group I-42d (No. 122)
Symmetry-distinct sites (fractional):
1 Pd 0.2388 0.2500 0.1250 (multiplicity 8)
2 Pt 0.0000 0.0000 0.0000 (multiplicity 4)
3 Pb 0.0000 0.0000 0.5000 (multiplicity 4)

=====

(5)
Material: NdSm6In2
Method: DFT, PBE
State: optimized geometry

calculated total energy = -4.48 eV/atom
DOS(E_F) = 23.056 states/eV/cell
formation energy from the elements = -0.1946 eV per atom
E above lowest polymorph = 0.000 eV/atom
total magnetization = 0.00 μB/cell

Lattice parameters (Å, degrees): 13.0283 3.8502 12.0763 90.00 108.28 90.00
Space group C2/m (No. 12)
Symmetry-distinct sites (fractional):
1 Nd 0.0000 0.0000 0.0000 (multiplicity 2)
2 Sm 0.0115 0.0000 0.3398 (multiplicity 4)
3 Sm 0.1877 0.5000 0.8749 (multiplicity 4)
4 Sm 0.1907 0.5000 0.5838 (multiplicity 4)
5 In 0.1434 0.5000 0.2117 (multiplicity 4)

=====

(6)
Material: TbBiAu
Method: DFT, PBE
State: optimized geometry

calculated total energy = -4.55 eV/atom
DOS(E_F) = 1.529 states/eV/cell
formation energy from the elements = -0.6218 eV per atom
total magnetization = 0.00 μB/cell

Lattice parameters (Å, degrees): 4.6412 4.6412 4.3399 90.00 90.00 120.00
Space group P3m1 (No. 156)
Symmetry-distinct sites (fractional):
1 Tb 0.0000 0.0000 0.0000 (multiplicity 1)
2 Bi 0.6667 0.3333 0.4472 (multiplicity 1)
3 Au 0.3333 0.6667 0.7033 (multiplicity 1)